--- i ---
Li2YIr2 | SCAN | single point on PBEsol structure

POSCAR file:
```
Li2YIr2
1.0
2.931 0.000 0.000
0.000 7.105 0.000
0.000 0.000 7.105
Ir Li Y
4 4 2
Cartesian
1.465 5.783 2.230
1.465 2.230 1.322
1.465 1.322 4.874
1.465 4.874 5.783
0.000 6.325 4.332
0.000 4.332 0.779
0.000 2.773 6.325
0.000 0.779 2.773
0.000 0.000 0.000
0.000 3.552 3.552
```

Values from the calculation:
Symmetry: P4/mbm, No. 127
Magnetization: 0.00 μB/f.u.

---

--- ii ---
Li2YIr2 | SCAN | single point on PBEsol structure

POSCAR file:
```
Li2YIr2
1.0
3.895 0.000 0.000
0.000 3.895 0.000
-1.947 -1.947 5.570
Li Ir Y
2 2 1
Cartesian
0.000 1.947 2.785
1.947 0.000 2.785
1.947 1.947 1.213
0.000 0.000 4.356
0.000 0.000 0.000
```

Values from the calculation:
Symmetry: I4/mmm, No. 139
Magnetization: 0.01 μB/f.u.

---

Most stable structure: i

---

--- i ---
LiZn2Ir | SCAN | single point on PBEsol structure

POSCAR file:
```
LiZn2Ir
1.0
3.035 0.000 0.000
0.000 3.035 0.000
0.000 0.000 5.763
Zn Li Ir
2 1 1
Cartesian
0.000 0.000 4.317
0.000 0.000 1.446
1.517 1.517 2.882
1.517 1.517 0.000
```

Values from the calculation:
Symmetry: P4/mmm, No. 123
Magnetization: 0.00 μB/f.u.

---

--- ii ---
LiZn2Ir | SCAN | single point on PBEsol structure

POSCAR file:
```
LiZn2Ir
1.0
-1.379 -2.634 0.056
3.365 -1.799 -1.789
1.618 -0.766 3.814
Li Ir Zn
1 1 2
Cartesian
1.195 -2.312 -0.390
0.322 -1.796 2.412
2.693 -1.378 1.489
0.202 -0.096 0.477
```

Values from the calculation:
Symmetry: P4/mmm, No. 123
Magnetization: 0.00 μB/f.u.

---

--- iii ---
LiZn2Ir | SCAN | single point on PBEsol structure

POSCAR file:
```
LiZn2Ir
1.0
4.214 0.000 0.000
-2.107 3.649 0.090
0.000 2.346 3.500
Ir Zn Li
1 2 1
Cartesian
2.107 1.173 1.750
2.107 3.584 2.670
0.000 2.411 0.920
0.000 0.000 0.000
```

Values from the calculation:
Symmetry: Fm-3m, No. 225
Magnetization: 0.00 μB/f.u.

---

Most stable structure: iii

---

--- i ---
LiZn2Ir | SCAN | single point on PBEsol structure

POSCAR file:
```
LiZn2Ir
1.0
2.707 0.000 0.000
0.000 3.753 0.000
0.000 0.000 5.306
Zn Li Ir
2 1 1
Cartesian
0.000 0.000 1.296
0.000 0.000 4.010
1.354 1.876 2.653
1.354 1.876 0.000
```

Values from the calculation:
Symmetry: Pmmm, No. 47
Magnetization: 0.00 μB/f.u.

---

--- ii ---
LiZn2Ir | SCAN | single point on PBEsol structure

POSCAR file:
```
LiZn2Ir
1.0
2.705 0.000 0.000
0.000 2.705 0.000
0.000 0.000 7.608
Zn Ir Li
2 1 1
Cartesian
1.352 1.352 1.987
0.000 0.000 0.028
0.000 0.000 3.776
1.352 1.352 5.622
```

Values from the calculation:
Symmetry: P4mm, No. 99
Magnetization: 0.00 μB/f.u.

---

--- iii ---
LiZn2Ir | SCAN | single point on PBEsol structure

POSCAR file:
```
LiZn2Ir
1.0
3.617 0.000 0.000
0.000 3.617 0.000
-1.808 -1.808 8.766
Zn Ir Li
4 2 2
Cartesian
-0.904 -0.941 6.574
0.867 2.712 2.191
2.749 0.904 2.191
0.904 0.941 6.574
0.000 0.000 0.000
0.000 1.808 4.383
1.808 0.000 4.383
1.808 1.808 0.000
```

Values from the calculation:
Symmetry: I-42d, No. 122
Magnetization: 0.59 μB/f.u.

---

--- iv ---
LiZn2Ir | SCAN | single point on PBEsol structure

POSCAR file:
```
LiZn2Ir
1.0
3.014 0.000 0.000
0.000 4.132 0.002
-1.507 -2.064 4.211
Zn Ir Li
2 1 1
Cartesian
1.507 0.001 2.093
0.000 0.000 0.024
0.000 0.001 4.186
0.000 2.066 2.122
```

Values from the calculation:
Symmetry: Imm2, No. 44
Magnetization: 0.00 μB/f.u.

---

Most stable structure: iv

---

--- i ---
MgP2IrS | SCAN | single point on PBEsol structure

POSCAR file:
```
MgP2IrS
1.0
4.361 0.000 0.000
0.000 4.396 0.000
0.000 0.000 4.396
Ir S Mg P
1 1 1 2
Cartesian
2.180 2.198 2.198
0.000 0.000 0.000
2.180 0.000 0.000
0.000 2.198 0.000
0.000 0.000 2.198
```

Values from the calculation:
Symmetry: P4/mmm, No. 123
Magnetization: 0.00 μB/f.u.

---

--- ii ---
MgP2IrS | SCAN | single point on PBEsol structure

POSCAR file:
```
MgP2IrS
1.0
-1.695 -2.108 3.589
3.488 -2.891 -0.051
2.333 2.766 2.727
S P Mg Ir
1 2 1 1
Cartesian
-0.848 -1.054 1.794
1.744 -1.446 -0.025
1.166 1.383 1.363
0.000 0.000 0.000
2.062 -1.117 3.132
```

Values from the calculation:
Symmetry: P4/mmm, No. 123
Magnetization: 0.00 μB/f.u.

---

Most stable structure: i

---

--- i ---
MgIrSe | SCAN | single point on PBEsol structure

POSCAR file:
```
MgIrSe
1.0
3.000 0.000 0.000
0.000 3.000 0.000
-1.500 -1.500 5.542
Se Ir Mg
1 1 1
Cartesian
0.000 0.000 3.891
1.500 1.500 5.487
1.500 1.500 1.707
```

Values from the calculation:
Symmetry: I4mm, No. 107
Magnetization: 0.00 μB/f.u.

---

--- ii ---
MgIrSe | SCAN | single point on PBEsol structure

POSCAR file:
```
MgIrSe
1.0
-2.973 -0.679 -2.969
0.012 -3.623 -2.234
-3.033 -2.914 0.653
Se Mg Ir
1 1 1
Cartesian
-2.997 -3.608 -2.275
0.000 0.000 0.000
-1.499 -1.804 -1.137
```

Values from the calculation:
Symmetry: F-43m, No. 216
Magnetization: 0.00 μB/f.u.

---

Most stable structure: ii

---

--- i ---
SrMg3Ir | SCAN | single point on PBEsol structure

POSCAR file:
```
SrMg3Ir
1.0
5.044 0.000 0.000
0.000 5.044 0.000
0.000 0.000 5.044
Mg Sr Ir
3 1 1
Cartesian
2.522 0.000 0.000
0.000 2.522 0.000
0.000 0.000 2.522
2.522 2.522 2.522
0.000 0.000 0.000
```

Values from the calculation:
Symmetry: Pm-3m, No. 221
Magnetization: 0.00 μB/f.u.

---

--- ii ---
SrMg3Ir | SCAN | single point on PBEsol structure

POSCAR file:
```
SrMg3Ir
1.0
5.648 0.000 0.000
0.000 5.648 0.000
0.000 0.000 5.648
Mg Sr Ir
3 1 1
Cartesian
0.000 0.000 2.824
2.824 0.000 0.000
0.000 2.824 0.000
0.000 0.000 0.000
2.824 2.824 2.824
```

Values from the calculation:
Symmetry: Pm-3m, No. 221
Magnetization: 1.72 μB/f.u.

---

Most stable structure: i

---

--- i ---
Mg2TaIr | SCAN | single point on PBEsol structure

POSCAR file:
```
Mg2TaIr
1.0
5.192 0.000 0.000
2.596 5.336 0.000
2.596 0.000 5.336
Ta Mg Ir
2 4 2
Cartesian
2.596 0.000 0.000
3.894 2.668 2.668
5.840 2.452 0.216
1.947 0.216 2.884
7.138 5.120 2.452
5.840 2.884 5.120
0.000 0.000 0.000
6.489 2.668 2.668
```

Values from the calculation:
Symmetry: I-42d, No. 122
Magnetization: 0.00 μB/f.u.

---

--- ii ---
Mg2TaIr | SCAN | single point on PBEsol structure

POSCAR file:
```
Mg2TaIr
1.0
4.511 0.000 0.000
2.256 3.907 0.000
2.256 1.302 3.683
Mg Ta Ir
2 1 1
Cartesian
2.256 1.302 0.921
6.767 3.907 2.763
4.511 2.605 1.842
0.000 0.000 0.000
```

Values from the calculation:
Symmetry: Fm-3m, No. 225
Magnetization: 0.64 μB/f.u.

---

Most stable structure: ii

---

--- i ---
Mg2TaIr | SCAN | single point on PBEsol structure

POSCAR file:
```
Mg2TaIr
1.0
-2.276 0.548 -2.655
-2.782 -2.385 1.892
-1.654 3.651 2.170
Mg Ta Ir
2 1 1
Cartesian
-2.529 -0.919 -0.381
0.000 0.000 0.000
-1.965 2.099 -0.242
-2.218 0.633 2.031
```

Values from the calculation:
Symmetry: Pmmm, No. 47
Magnetization: 0.00 μB/f.u.

---

--- ii ---
Mg2TaIr | SCAN | single point on PBEsol structure

POSCAR file:
```
Mg2TaIr
1.0
-2.762 0.469 0.123
-0.534 -1.865 -4.873
-0.375 -3.279 4.077
Mg Ir Ta
2 1 1
Cartesian
-0.267 -0.932 -2.437
-0.188 -1.639 2.038
-1.835 -2.337 -0.337
-1.381 0.234 0.061
```

Values from the calculation:
Symmetry: Cmmm, No. 65
Magnetization: 0.00 μB/f.u.

---

Most stable structure: i

---

--- i ---
MnRe2Ir | SCAN | single point on PBEsol structure

POSCAR file:
```
MnRe2Ir
1.0
2.690 0.000 0.000
0.000 2.690 0.000
0.000 0.000 7.486
Re Ir Mn
2 1 1
Cartesian
0.000 0.000 7.349
1.345 1.345 1.910
0.000 0.000 3.820
1.345 1.345 5.637
```

Values from the calculation:
Symmetry: P4mm, No. 99
Magnetization: 2.49 μB/f.u.

---

--- ii ---
MnRe2Ir | SCAN | single point on PBEsol structure

POSCAR file:
```
MnRe2Ir
1.0
-0.587 3.712 2.088
-3.980 1.469 0.696
-1.628 -0.006 3.979
Re Ir Mn
2 1 1
Cartesian
0.000 0.000 0.000
-1.549 1.294 1.690
-3.098 2.587 3.381
-4.646 3.881 5.071
```

Values from the calculation:
Symmetry: F-43m, No. 216
Magnetization: 3.80 μB/f.u.

---

Most stable structure: i

---

--- i ---
MnReIr2 | SCAN | single point on PBEsol structure

POSCAR file:
```
MnReIr2
1.0
-1.536 -1.501 1.597
4.380 -0.836 1.183
-0.852 3.702 2.659
Mn Re Ir
1 1 2
Cartesian
-1.199 1.133 2.154
0.841 -0.632 2.457
0.001 0.029 0.028
1.154 1.935 2.928
```

Values from the calculation:
Symmetry: Cm, No. 8
Magnetization: 2.57 μB/f.u.

---

--- ii ---
MnReIr2 | SCAN | single point on PBEsol structure

POSCAR file:
```
MnReIr2
1.0
4.312 0.000 0.000
2.156 3.734 0.000
2.156 1.245 3.521
Mn Ir Re
1 2 1
Cartesian
0.000 0.000 0.000
6.468 3.734 2.641
2.156 1.245 0.880
4.312 2.490 1.760
```

Values from the calculation:
Symmetry: Fm-3m, No. 225
Magnetization: 5.04 μB/f.u.

---

Most stable structure: i

---

--- i ---
MnReIr2 | SCAN | single point on PBEsol structure

POSCAR file:
```
MnReIr2
1.0
2.688 0.000 0.000
0.000 4.627 -0.007
0.000 -1.524 4.369
Ir Re Mn
2 1 1
Cartesian
0.000 2.313 -0.004
0.000 -0.762 2.184
1.344 0.000 0.000
1.344 1.552 2.181
```

Values from the calculation:
Symmetry: Cmmm, No. 65
Magnetization: 2.30 μB/f.u.

---

--- ii ---
MnReIr2 | SCAN | single point on PBEsol structure

POSCAR file:
```
MnReIr2
1.0
3.791 0.000 0.000
0.000 3.791 0.000
-1.895 -1.895 3.756
Mn Re Ir
1 1 2
Cartesian
1.895 1.895 0.000
0.000 0.000 0.000
0.000 1.895 1.878
1.895 0.000 1.878
```

Values from the calculation:
Symmetry: I4/mmm, No. 139
Magnetization: 2.32 μB/f.u.

---

Most stable structure: ii

---

--- i ---
MnReIr2 | SCAN | single point on PBEsol structure

POSCAR file:
```
MnReIr2
1.0
2.685 0.000 0.000
0.000 4.235 0.000
0.000 0.000 4.687
Ir Re Mn
2 1 1
Cartesian
0.000 0.000 0.194
0.000 2.117 3.271
1.343 2.117 1.027
1.343 0.000 2.537
```

Values from the calculation:
Symmetry: Pmm2, No. 25
Magnetization: 1.79 μB/f.u.

---

--- ii ---
MnReIr2 | SCAN | single point on PBEsol structure

POSCAR file:
```
MnReIr2
1.0
2.693 0.000 0.000
0.000 3.772 0.000
0.000 0.000 5.342
Ir Re Mn
2 1 1
Cartesian
0.000 0.000 1.314
0.000 0.000 4.028
1.346 1.886 2.671
1.346 1.886 0.000
```

Values from the calculation:
Symmetry: Pmmm, No. 47
Magnetization: 2.96 μB/f.u.

---

Most stable structure: ii